Material: Dy2HoEr2Sc2
Method: DFT, PBE
State: optimized geometry

Cell: 8.727 8.727 8.154 Å, 116.98 116.98 22.43°
Fractional coordinates of all 7 atoms:
Dy: 0.150 0.150 0.395
Dy: 0.850 0.850 0.605
Ho: 0.500 0.500 0.500
Er: 0.075 0.075 0.913
Er: 0.925 0.925 0.087
Sc: 0.288 0.288 0.198
Sc: 0.712 0.712 0.802

Values from the calculation:
**Magnetic moment**: 0.00 Bohr magnetons per cell
**Energy of formation**: 0.157 eV per atom
**DOS at the Fermi energy**: 11.92 states/eV/cell
**VASP energy**: -4.92 eV/atom